[1]
The following is a PBEsol calculation of a geometry-optimized TlNiHg structure, from Alexandria.

a = 3.2435 Å, b = 3.2435 Å, c = 6.3577 Å
α = 90.00°, β = 90.00°, γ = 120.00°
Space group P3m1 (No. 156)
Inequivalent atoms, fractional coordinates:
1 Tl 0.0000 0.0000 0.0000
2 Ni 0.3333 0.6667 0.2996
3 Hg 0.6667 0.3333 0.5911

Output
VASP energy: -0.1039 hartree per atom
Energy of formation: 291 meV/atom
Mass density: 13.3 Mg/m³
Calculated volume: 19.31 A^3/atom

[2]
The following is a PBEsol calculation of a geometry-optimized Tl2NiHg structure, from Alexandria.

a = 4.306 Å, b = 4.306 Å, c = 9.000 Å
α = 90.00°, β = 90.00°, γ = 90.00°
Space group I-4m2 (No. 119)
Inequivalent atoms, fractional coordinates:
1 Tl 0.000 0.000 0.000
2 Tl 0.000 0.500 0.250
3 Ni 0.000 0.500 0.750
4 Hg 0.000 0.000 0.500

Output
VASP energy: -0.0963 hartree per atom
Energy of formation: 377 meV/atom
Excess energy over the best structure of this formula in the dataset: 157 meV/atom
Mass density: 13.3 Mg/m³
Calculated volume: 20.86 A^3/atom

[3]
The following is a PBEsol calculation of a geometry-optimized Tl3NiHg structure, from Alexandria.

a = 5.026 Å, b = 5.026 Å, c = 5.026 Å
α = 90.00°, β = 90.00°, γ = 90.00°
Space group Pm-3m (No. 221)
Inequivalent atoms, fractional coordinates:
1 Tl 0.000 0.000 0.500
2 Ni 0.000 0.000 0.000
3 Hg 0.500 0.500 0.500

Output
VASP energy: -0.1048 hartree per atom
Energy of formation: 71 meV/atom
Mass density: 11.4 Mg/m³
Calculated volume: 25.39 A^3/atom

[4]
The following is a PBEsol calculation of a geometry-optimized Tl2NiHg structure, from Alexandria.

a = 6.010 Å, b = 3.423 Å, c = 8.665 Å
α = 90.00°, β = 103.38°, γ = 90.00°
Space group C2/m (No. 12)
Inequivalent atoms, fractional coordinates:
1 Tl 0.238 0.000 0.206
2 Ni 0.000 0.500 0.000
3 Hg 0.000 0.000 0.500

Output
VASP energy: -0.1020 hartree per atom
Energy of formation: 220 meV/atom
Excess energy over the best structure of this formula in the dataset: 0 meV/atom
Mass density: 12.8 Mg/m³
Calculated volume: 21.68 A^3/atom

[5]
The following is a PBEsol calculation of a geometry-optimized NiHg2W structure, from Alexandria.

a = 8.860 Å, b = 2.845 Å, c = 5.389 Å
α = 90.00°, β = 98.18°, γ = 90.00°
Space group Cm (No. 8)
Inequivalent atoms, fractional coordinates:
1 Ni 0.000 0.000 0.000
2 Hg 0.009 0.500 0.561
3 Hg 0.248 0.500 0.280
4 W 0.263 0.000 0.827

Output
VASP energy: -0.1728 hartree per atom
Energy of formation: 572 meV/atom
Excess energy over the best structure of this formula in the dataset: 288 meV/atom
Mass density: 15.9 Mg/m³
Calculated volume: 16.81 A^3/atom

[6]
The following is a PBEsol calculation of a geometry-optimized NiHg2W structure, from Alexandria.

a = 2.872 Å, b = 2.872 Å, c = 8.036 Å
α = 90.00°, β = 90.00°, γ = 90.00°
Space group P4mm (No. 99)
Inequivalent atoms, fractional coordinates:
1 Ni 0.000 0.000 0.000
2 Hg 0.000 0.000 0.459
3 Hg 0.500 0.500 0.768
4 W 0.500 0.500 0.188

Output
VASP energy: -0.1834 hartree per atom
Energy of formation: 284 meV/atom
Excess energy over the best structure of this formula in the dataset: 0 meV/atom
Mass density: 16.1 Mg/m³
Calculated volume: 16.57 A^3/atom

[7]
The following is a PBEsol calculation of a geometry-optimized NiHg2W structure, from Alexandria.

a = 2.925 Å, b = 4.778 Å, c = 4.781 Å
α = 90.00°, β = 90.00°, γ = 90.00°
Space group Pmmm (No. 47)
Inequivalent atoms, fractional coordinates:
1 Ni 0.000 0.000 0.000
2 Hg 0.000 0.500 0.500
3 Hg 0.500 0.500 0.000
4 W 0.500 0.000 0.500

Output
VASP energy: -0.1667 hartree per atom
Energy of formation: 738 meV/atom
Excess energy over the best structure of this formula in the dataset: 454 meV/atom
Mass density: 16.0 Mg/m³
Calculated volume: 16.70 A^3/atom

[8]
The following is a PBEsol calculation of a geometry-optimized NiHg2W structure, from Alexandria.

a = 6.417 Å, b = 6.417 Å, c = 6.417 Å
α = 90.00°, β = 90.00°, γ = 90.00°
Space group F-43m (No. 216)
Inequivalent atoms, fractional coordinates:
1 Ni 0.000 0.000 0.000
2 Hg 0.000 0.000 0.500
3 Hg 0.250 0.250 0.250
4 W 0.250 0.250 0.750

Output
VASP energy: -0.1627 hartree per atom
Energy of formation: 847 meV/atom
Excess energy over the best structure of this formula in the dataset: 563 meV/atom
Mass density: 16.2 Mg/m³
Calculated volume: 16.52 A^3/atom

[9]
The following is a PBEsol calculation of a geometry-optimized NiHg2W structure, from Alexandria.

a = 5.835 Å, b = 8.148 Å, c = 2.778 Å
α = 90.00°, β = 90.00°, γ = 90.00°
Space group Cmmm (No. 65)
Inequivalent atoms, fractional coordinates:
1 Ni 0.000 0.000 0.000
2 Hg 0.250 0.250 0.500
3 W 0.000 0.500 0.000

Output
VASP energy: -0.1700 hartree per atom
Energy of formation: 649 meV/atom
Excess energy over the best structure of this formula in the dataset: 365 meV/atom
Mass density: 16.2 Mg/m³
Calculated volume: 16.51 A^3/atom

[10]
The following is a PBEsol calculation of a geometry-optimized Y3NiHg structure, from Alexandria.

a = 5.484 Å, b = 5.484 Å, c = 5.484 Å
α = 90.00°, β = 90.00°, γ = 90.00°
Space group Pm-3m (No. 221)
Inequivalent atoms, fractional coordinates:
1 Y 0.000 0.000 0.500
2 Ni 0.500 0.500 0.500
3 Hg 0.000 0.000 0.000

Output
VASP energy: -0.1740 hartree per atom
Energy of formation: 705 meV/atom
Mass density: 5.3 Mg/m³
Calculated volume: 32.98 A^3/atom

[11]
The following is a PBEsol calculation of a geometry-optimized Y2NiHg structure, from Alexandria.

a = 3.451 Å, b = 3.451 Å, c = 7.211 Å
α = 90.00°, β = 90.00°, γ = 90.00°
Space group P4/mmm (No. 123)
Inequivalent atoms, fractional coordinates:
1 Y 0.000 0.000 0.222
2 Ni 0.500 0.500 0.000
3 Hg 0.500 0.500 0.500

Output
VASP energy: -0.2048 hartree per atom
Energy of formation: -482 meV/atom
Mass density: 8.5 Mg/m³
Calculated volume: 21.47 A^3/atom

[12]
The following is a PBEsol calculation of a geometry-optimized Y2NiHg structure, from Alexandria.

a = 3.460 Å, b = 3.460 Å, c = 7.468 Å
α = 90.00°, β = 90.00°, γ = 90.00°
Space group P4mm (No. 99)
Inequivalent atoms, fractional coordinates:
1 Y 0.000 0.000 0.000
2 Y 0.500 0.500 0.364
3 Ni 0.500 0.500 0.801
4 Hg 0.000 0.000 0.609

Output
VASP energy: -0.1951 hartree per atom
Energy of formation: -218 meV/atom
Mass density: 8.1 Mg/m³
Calculated volume: 22.36 A^3/atom